No. 1
Na2SmPuS4 (GGA-PBE, relaxed); crystal system = monoclinic; raw total energy = -51.5 eV/cell; formation energy without anion corrections = -1.668 eV per atom
1.0
7.043 0.000 0.000
0.000 4.068 0.000
-2.363 0.000 6.655
Na Sm Pu S
2 1 1 4
Direct
0.000 0.000 0.000 Na
0.500 0.500 0.000 Na
0.000 0.500 0.500 Sm
0.500 0.000 0.500 Pu
0.245 0.000 0.731 S
0.261 0.500 0.274 S
0.739 0.500 0.726 S
0.755 0.000 0.269 S

No. 2
Na4Pu3SnS8 (GGA-PBE, relaxed); crystal system = trigonal; raw total energy = -106.9 eV/cell; formation energy without anion corrections = -1.350 eV per atom
1.0
4.076 2.353 6.568
-4.076 2.353 6.568
0.000 -4.706 6.568
Na Pu Sn S
4 3 1 8
Direct
0.000 0.000 0.000 Na
0.000 0.500 0.500 Na
0.500 0.000 0.500 Na
0.500 0.500 0.000 Na
0.000 0.000 0.500 Pu
0.000 0.500 0.000 Pu
0.500 0.000 0.000 Pu
0.500 0.500 0.500 Sn
0.230 0.748 0.748 S
0.242 0.242 0.242 S
0.252 0.252 0.770 S
0.252 0.770 0.252 S
0.748 0.230 0.748 S
0.748 0.748 0.230 S
0.758 0.758 0.758 S
0.770 0.252 0.252 S

No. 3
Na2PuSnS4 (GGA-PBE, relaxed); crystal system = monoclinic; raw total energy = -46.5 eV/cell; formation energy without anion corrections = -1.126 eV per atom
1.0
6.971 0.000 0.000
0.000 4.034 0.000
-2.362 0.000 6.722
Na Pu Sn S
2 1 1 4
Direct
0.000 0.000 0.000 Na
0.000 0.500 0.500 Na
0.500 0.000 0.500 Pu
0.500 0.500 0.000 Sn
0.273 0.000 0.742 S
0.276 0.500 0.266 S
0.724 0.500 0.734 S
0.727 0.000 0.258 S

No. 4
Na3Pu3TaS8 (GGA-PBE, relaxed); crystal system = trigonal; raw total energy = -113.2 eV/cell; formation energy without anion corrections = -1.423 eV per atom
1.0
3.921 2.264 6.753
-3.921 2.264 6.753
0.000 -4.527 6.753
Na Pu Ta S
3 3 1 8
Direct
0.000 0.500 0.500 Na
0.500 0.000 0.500 Na
0.500 0.500 0.000 Na
0.000 0.000 0.500 Pu
0.000 0.500 0.000 Pu
0.500 0.000 0.000 Pu
0.500 0.500 0.500 Ta
0.244 0.244 0.244 S
0.266 0.723 0.723 S
0.277 0.277 0.734 S
0.277 0.734 0.277 S
0.723 0.266 0.723 S
0.723 0.723 0.266 S
0.734 0.277 0.277 S
0.756 0.756 0.756 S

No. 5
Na4Tb3PuS8 (GGA-PBE, relaxed); crystal system = trigonal; raw total energy = -94.7 eV/cell; formation energy without anion corrections = -1.758 eV per atom
1.0
4.020 2.321 6.667
-4.020 2.321 6.667
0.000 -4.642 6.667
Na Tb Pu S
4 3 1 8
Direct
0.000 0.000 0.000 Na
0.000 0.500 0.500 Na
0.500 0.000 0.500 Na
0.500 0.500 0.000 Na
0.000 0.000 0.500 Tb
0.000 0.500 0.000 Tb
0.500 0.000 0.000 Tb
0.500 0.500 0.500 Pu
0.241 0.743 0.743 S
0.243 0.243 0.243 S
0.257 0.257 0.759 S
0.257 0.759 0.257 S
0.743 0.241 0.743 S
0.743 0.743 0.241 S
0.757 0.757 0.757 S
0.759 0.257 0.257 S

No. 6
Na4TbPu3S8 (GGA-PBE, relaxed); crystal system = trigonal; raw total energy = -111.8 eV/cell; formation energy without anion corrections = -1.618 eV per atom
1.0
4.036 2.330 6.630
-4.036 2.330 6.630
0.000 -4.660 6.630
Na Tb Pu S
4 1 3 8
Direct
0.000 0.000 0.000 Na
0.000 0.500 0.500 Na
0.500 0.000 0.500 Na
0.500 0.500 0.000 Na
0.500 0.500 0.500 Tb
0.000 0.000 0.500 Pu
0.000 0.500 0.000 Pu
0.500 0.000 0.000 Pu
0.241 0.241 0.241 S
0.244 0.742 0.742 S
0.258 0.258 0.756 S
0.258 0.756 0.258 S
0.742 0.244 0.742 S
0.742 0.742 0.244 S
0.756 0.258 0.258 S
0.759 0.759 0.759 S

No. 7
Na3Tb2PuS6 (GGA-PBE, relaxed); crystal system = monoclinic; raw total energy = -73.0 eV/cell; formation energy without anion corrections = -1.727 eV per atom
1.0
3.488 -6.041 0.000
3.488 6.041 0.000
-2.326 0.000 6.662
Na Tb Pu S
3 2 1 6
Direct
0.000 0.000 0.000 Na
0.333 0.667 0.000 Na
0.667 0.333 0.000 Na
0.167 0.833 0.500 Tb
0.833 0.167 0.500 Tb
0.500 0.500 0.500 Pu
0.089 0.424 0.273 S
0.240 0.240 0.728 S
0.424 0.089 0.273 S
0.576 0.911 0.727 S
0.760 0.760 0.272 S
0.911 0.576 0.727 S

No. 8
Na3Tb3PuS8 (GGA-PBE, relaxed); crystal system = trigonal; raw total energy = -91.2 eV/cell; formation energy without anion corrections = -1.736 eV per atom
1.0
4.004 2.312 6.709
-4.004 2.312 6.709
0.000 -4.623 6.709
Na Tb Pu S
3 3 1 8
Direct
0.000 0.500 0.500 Na
0.500 0.000 0.500 Na
0.500 0.500 0.000 Na
0.000 0.000 0.500 Tb
0.000 0.500 0.000 Tb
0.500 0.000 0.000 Tb
0.500 0.500 0.500 Pu
0.242 0.242 0.242 S
0.248 0.736 0.736 S
0.264 0.264 0.752 S
0.264 0.752 0.264 S
0.736 0.248 0.736 S
0.736 0.736 0.248 S
0.752 0.264 0.264 S
0.758 0.758 0.758 S

No. 9
NaTbPu2S4 (GGA-PBE, relaxed); crystal system = monoclinic; raw total energy = -64.8 eV/cell; formation energy without anion corrections = -1.714 eV per atom
1.0
6.865 0.000 0.000
0.000 3.979 0.000
-2.350 0.000 6.537
Na Tb Pu S
1 1 2 4
Direct
0.000 0.000 0.000 Na
0.000 0.500 0.500 Tb
0.500 0.000 0.500 Pu
0.500 0.500 0.000 Pu
0.249 0.000 0.748 S
0.254 0.500 0.259 S
0.746 0.500 0.741 S
0.751 0.000 0.252 S

No. 10
Na2TbPuS4 (GGA-PBE, relaxed); crystal system = monoclinic; raw total energy = -51.6 eV/cell; formation energy without anion corrections = -1.682 eV per atom
1.0
6.980 0.000 0.000
0.000 4.031 0.000
-2.342 0.000 6.651
Na Tb Pu S
2 1 1 4
Direct
0.000 0.000 0.000 Na
0.500 0.500 0.000 Na
0.000 0.500 0.500 Tb
0.500 0.000 0.500 Pu
0.241 0.000 0.729 S
0.258 0.500 0.274 S
0.742 0.500 0.726 S
0.759 0.000 0.271 S

No. 11
Na3Pu3TcS8 (GGA-PBE, relaxed); crystal system = trigonal; raw total energy = -109.6 eV/cell; formation energy without anion corrections = -1.287 eV per atom
1.0
3.863 2.230 6.794
-3.863 2.230 6.794
0.000 -4.461 6.794
Na Pu Tc S
3 3 1 8
Direct
0.000 0.500 0.500 Na
0.500 0.000 0.500 Na
0.500 0.500 0.000 Na
0.000 0.000 0.500 Pu
0.000 0.500 0.000 Pu
0.500 0.000 0.000 Pu
0.500 0.500 0.500 Tc
0.243 0.243 0.243 S
0.264 0.724 0.724 S
0.276 0.276 0.736 S
0.276 0.736 0.276 S
0.724 0.264 0.724 S
0.724 0.724 0.264 S
0.736 0.276 0.276 S
0.757 0.757 0.757 S

No. 12
Na2PuTeS4 (GGA-PBE, relaxed); crystal system = monoclinic; raw total energy = -44.2 eV/cell; formation energy without anion corrections = -0.947 eV per atom
1.0
7.315 0.000 0.000
0.000 3.897 0.000
-2.598 0.000 7.127
Na Pu Te S
2 1 1 4
Direct
0.000 0.000 0.000 Na
0.500 0.500 0.500 Na
0.000 0.000 0.500 Pu
0.500 0.500 0.000 Te
0.085 0.500 0.301 S
0.381 0.000 0.739 S
0.619 0.000 0.261 S
0.915 0.500 0.699 S